Compound: PrEuNbVO6
Source: Alexandria
Functional: GGA+U
Structure: relaxed

The total energy is -8.88 eV/atom.

It has space group F-43m (No. 216), with a = 8.070 Å, b = 8.070 Å, c = 8.070 Å, α = 90.00°, β = 90.00° and γ = 90.00°. The distinct sites, in fractional coordinates, are Pr at (0.000, 0.000, 0.000), Eu at (0.000, 0.000, 0.500), Nb at (0.250, 0.250, 0.250), V at (0.250, 0.250, 0.750) and O at (0.002, 0.250, 0.250).